1.
# PBEsol Ba2LiIn, relaxed
# Volume, A^3/atom: 35.95
# M_tot, μB per atom: 0.001
# Raw total energy, eV per cell: -10.1
data_Ba2LiIn
_cell_length_a 4.043
_cell_length_b 5.939
_cell_length_c 6.983
_cell_angle_alpha 115.17
_cell_angle_beta 106.83
_cell_angle_gamma 90.00
_space_group_name_H-M_alt 'P 1'
_space_group_IT_number 1
loop_
_space_group_symop_operation_xyz
'x,y,z'
loop_
_atom_site_label
_atom_site_fract_x
_atom_site_fract_y
_atom_site_fract_z
In1 0.537 0.537 0.074
Ba1 0.979 0.979 0.959
Ba2 0.783 0.283 0.567
Li1 0.200 0.700 0.401



2.
# PBEsol Zr2ScSn2, relaxed
# Volume, A^3/atom: 22.29
# M_tot, μB per atom: 0.000
# Raw total energy, eV per cell: -72.4
data_Zr2ScSn2
_cell_length_a 3.889
_cell_length_b 7.571
_cell_length_c 7.571
_cell_angle_alpha 90.00
_cell_angle_beta 90.00
_cell_angle_gamma 90.00
_space_group_name_H-M_alt 'P 1'
_space_group_IT_number 1
loop_
_space_group_symop_operation_xyz
'x,y,z'
loop_
_atom_site_label
_atom_site_fract_x
_atom_site_fract_y
_atom_site_fract_z
Sc1 0.000 0.000 0.000
Sc2 0.000 0.500 0.500
Sn1 0.000 0.363 0.863
Sn2 0.000 0.863 0.637
Sn3 0.000 0.637 0.137
Sn4 0.000 0.137 0.363
Zr1 0.500 0.164 0.664
Zr2 0.500 0.664 0.836
Zr3 0.500 0.836 0.336
Zr4 0.500 0.336 0.164



3.
# PBEsol La2YCd, relaxed
# Volume, A^3/atom: 31.04
# M_tot, μB per atom: 0.000
# Raw total energy, eV per cell: -19.2
data_La2YCd
_cell_length_a 3.723
_cell_length_b 3.723
_cell_length_c 8.956
_cell_angle_alpha 90.00
_cell_angle_beta 90.00
_cell_angle_gamma 90.00
_space_group_name_H-M_alt 'P 1'
_space_group_IT_number 1
loop_
_space_group_symop_operation_xyz
'x,y,z'
loop_
_atom_site_label
_atom_site_fract_x
_atom_site_fract_y
_atom_site_fract_z
Y1 0.500 0.500 0.000
Cd1 0.500 0.500 0.500
La1 0.000 0.000 0.727
La2 0.000 0.000 0.273